Entry from OQMD via LeMat-Bulk: TaB4Ir after structural relaxation (GGA-PBE).

Geometry as POSCAR:
```
TaB4Ir
1.0
3.116 0.000 0.000
-1.558 2.698 0.000
0.000 0.000 6.536
Ta B Ir
1 4 1
Direct
0.000 0.000 0.000
0.333 0.667 0.251
0.333 0.667 0.749
0.667 0.333 0.251
0.667 0.333 0.749
0.000 0.000 0.500
```

Calculated values
energy relative to the lowest polymorph listed for this composition: 0 meV/atom